# 1
# Nd4YEr7

Nd4YEr7 after structural relaxation (PBE, the Alexandria database).

Lattice parameters (Å, degrees): 6.744 6.744 12.794 115.24 115.24 51.83
Fractional positions:
1 Nd 0.057 0.057 0.333
2 Nd 0.361 0.361 0.222
3 Nd 0.639 0.639 0.778
4 Nd 0.943 0.943 0.667
5 Y 0.500 0.500 0.000
6 Er 0.000 0.000 0.000
7 Er 0.211 0.211 0.923
8 Er 0.255 0.255 0.687
9 Er 0.363 0.363 0.495
10 Er 0.637 0.637 0.505
11 Er 0.745 0.745 0.313
12 Er 0.789 0.789 0.077

Properties
Calculated formation energy (eV per formula unit): 3.3

# 2
# LiTlCl4

LiTlCl4 after structural relaxation (PBE, the Alexandria database).

Lattice parameters (Å, degrees): 6.160 6.160 6.160 60.00 60.00 60.00
Fractional positions:
1 Li 0.000 0.000 0.000
2 Tl 0.750 0.750 0.750
3 Cl 0.375 0.375 0.375
4 Cl 0.375 0.375 0.875
5 Cl 0.375 0.875 0.375
6 Cl 0.875 0.375 0.375

Properties
Formation energy (no corrections) (eV per atom): -0.286

no.,density (g cm⁻³),total magnetization (Bohr magnetons per cell),offset from the most stable computed form (meV/atom)
1,7.572,0.4,184
2,3.548,2.0,758